Record 1
Below is a relaxed structure of Sm6SnHg6, with properties calculated at the PBE-GGA level.

Cell lengths 6.3503, 6.3503, 10.6092 Å; angles 90.00, 90.00, 120.00 degrees
Space group P6/mmm (No. 191)
Unique sites:
Sm: 0.0000 0.0000 0.1905 (multiplicity 2)
Sm: 0.3333 0.6667 0.0000 (multiplicity 2)
Sm: 0.3333 0.6667 0.5000 (multiplicity 2)
Sn: 0.0000 0.0000 0.5000 (multiplicity 1)
Hg: 0.0000 0.5000 0.2492 (multiplicity 6)

Properties
energy of formation from the pure elements	-321	meV/atom
size of the total moment	1.2	μB per formula unit


Record 2
Below is a relaxed structure of Ti3GaIr2, with properties calculated at the PBE-GGA level.

Cell lengths 2.9206, 2.9206, 10.9216 Å; angles 90.00, 90.00, 90.00 degrees
Space group P4/mmm (No. 123)
Unique sites:
Ti: 0.0000 0.0000 0.0000 (multiplicity 1)
Ti: 0.0000 0.0000 0.3188 (multiplicity 2)
Ga: 0.5000 0.5000 0.5000 (multiplicity 1)
Ir: 0.5000 0.5000 0.1553 (multiplicity 2)

Properties
energy of formation from the pure elements	-702	meV/atom
size of the total moment	0.4	μB per formula unit


Record 3
Below is a relaxed structure of DyAs2Rh4, with properties calculated at the PBE-GGA level.

Cell lengths 16.8536, 4.1824, 6.5519 Å; angles 90.00, 90.00, 90.00 degrees
Space group Pnma (No. 62)
Unique sites:
Dy: 0.1414 0.2500 0.0371 (multiplicity 4)
As: 0.0394 0.7500 0.2478 (multiplicity 4)
As: 0.2087 0.2500 0.6003 (multiplicity 4)
Rh: 0.0306 0.7500 0.8595 (multiplicity 4)
Rh: 0.0675 0.2500 0.5081 (multiplicity 4)
Rh: 0.1755 0.7500 0.3753 (multiplicity 4)
Rh: 0.2142 0.7500 0.7900 (multiplicity 4)

Properties
energy of formation from the pure elements	-684	meV/atom
offset from the most stable computed form	0.024	eV per atom
size of the total moment	0.0	μB per formula unit


Record 4
Below is a relaxed structure of HfAsS, with properties calculated at the PBE-GGA level.

Cell lengths 3.3643, 3.3643, 9.5601 Å; angles 90.00, 90.00, 90.00 degrees
Space group I4mm (No. 107)
Unique sites:
Hf: 0.0000 0.0000 0.0000 (multiplicity 2)
As: 0.0000 0.0000 0.6815 (multiplicity 2)
S: 0.0000 0.0000 0.3837 (multiplicity 2)

Properties
size of the total moment	0.0	μB per formula unit
uncorrected formation energy	-0.803	eV per atom


Number 1: DOS at the Fermi energy 14.9 states/eV/cell. Number 2: DOS at the Fermi energy 6.0 states/eV/cell. Number 3: DOS at the Fermi energy 12.3 states/eV/cell. Number 4: DOS at the Fermi energy 3.1 states/eV/cell.